Here is crystalline LiScTc2F at its relaxed geometry from the Alexandria database. Energies are from PBEsol.

a = 4.557 Å, b = 4.557 Å, c = 5.805 Å
α = 90.00°, β = 90.00°, γ = 90.00°
Atoms (fractional coordinates):
1 Li 0.000 0.000 0.000
2 Sc 0.000 0.000 0.500
3 Tc 0.000 0.500 0.500
4 Tc 0.500 0.000 0.500
5 F 0.500 0.500 0.000

## Properties
The calculation puts the density at 3.68 g/cm3. The calculated total energy is -5.081 eV per atom. The calculation puts the total magnetic moment at 4.25 Bohr magnetons per cell. The formation energy (no corrections) comes out at 1.525 eV per atom. Its space-group type is P4/mmm, No. 123.